#P
A plane-wave DFT calculation with PBE was carried out for an optimized crystal structure of GaCuH.

Properties
As for the magnetic moment: 0.0 μB per formula unit. The density of states at the Fermi level is 0.974 states/eV/f.u.

Lattice parameters (Å, degrees): 3.9126 3.9126 3.9126 124.85 124.85 81.79
Fractional positions:
Ga: 0.0000 0.0000 0.0000
Cu: 0.4226 0.4226 0.0000
H: 0.6910 0.6910 0.0000

#Q
A plane-wave DFT calculation with PBE was carried out for an optimized crystal structure of GaCuH.

Properties
As for the magnetic moment: 0.0 μB per formula unit. The density of states at the Fermi level is 0.648 states/eV/f.u.

Lattice parameters (Å, degrees): 4.0457 4.0457 7.9487 90.60 90.60 39.78
Fractional positions:
Ga: 0.1346 0.1346 0.2515
Ga: 0.8654 0.8654 0.7485
Cu: 0.1371 0.1371 0.9220
Cu: 0.8629 0.8629 0.0780
H: 0.3682 0.3682 0.6066
H: 0.6318 0.6318 0.3934

#R
A plane-wave DFT calculation with PBE was carried out for an optimized crystal structure of GaCuH.

Properties
As for the magnetic moment: 0.0 μB per formula unit. The density of states at the Fermi level is 1.017 states/eV/f.u.

Lattice parameters (Å, degrees): 2.7232 2.7232 5.7841 90.00 90.00 120.00
Fractional positions:
Ga: 0.0000 0.0000 0.0000
Cu: 0.6667 0.3333 0.4088
H: 0.3333 0.6667 0.5285

Relative energies, meV per atom: #P 210; #Q 74; #R 0.

#P
A plane-wave DFT calculation with PBE was carried out for an optimized crystal structure of La2GaCuH.

Properties
As for the magnetic moment: 0.0 μB per formula unit. The density of states at the Fermi level is 4.444 states/eV/f.u.

Lattice parameters (Å, degrees): 5.1777 5.1777 3.8715 90.00 90.00 90.00
Fractional positions:
La: 0.0000 0.5000 0.0000
La: 0.5000 0.0000 0.0000
Ga: 0.0000 0.0000 0.5000
Cu: 0.5000 0.5000 0.5000
H: 0.5000 0.5000 0.0000

#Q
A plane-wave DFT calculation with PBE was carried out for an optimized crystal structure of La2GaCuH.

Properties
As for the magnetic moment: 0.0 μB per formula unit. The density of states at the Fermi level is 4.396 states/eV/f.u.

Lattice parameters (Å, degrees): 6.5206 4.3460 7.8025 90.00 104.70 90.00
Fractional positions:
La: 0.1892 0.2500 0.4059
La: 0.2359 0.2500 0.9584
La: 0.7641 0.7500 0.0416
La: 0.8108 0.7500 0.5941
Ga: 0.3551 0.7500 0.7038
Ga: 0.6449 0.2500 0.2962
Cu: 0.4339 0.7500 0.2584
Cu: 0.5661 0.2500 0.7416
H: 0.1644 0.7500 0.1787
H: 0.8356 0.2500 0.8213

Relative energies, meV per atom: #P 28; #Q 0.